Pm3Nd3Th2 (GGA-PBE, relaxed); ΔE to the lowest computed polymorph = 0 meV/atom; symmetry = No. 71
1.0
5.1191 0.0000 0.0000
0.0000 5.1197 0.0013
-2.5595 -2.5571 10.4533
Pm Nd Th
3 3 2
Direct
0.8705 0.8704 0.7409
0.0000 0.5000 0.0000
0.1295 0.1296 0.2591
0.6295 0.6296 0.2589
0.3705 0.3704 0.7411
0.5000 0.0000 0.0000
0.2501 0.7500 0.5001
0.7499 0.2500 0.4999

***

PmNdTh2 (GGA-PBE, relaxed); ΔE to the lowest computed polymorph = 53 meV/atom; symmetry = No. 123
1.0
5.2207 0.0000 0.0000
0.0000 5.0448 0.0000
0.0000 0.0000 5.0448
Th Pm Nd
2 1 1
Direct
0.0000 0.0000 0.5000
0.0000 0.5000 0.0000
0.5000 0.5000 0.5000
0.5000 0.0000 0.0000

***

PmNdThTl (GGA-PBE, relaxed); total energy = -19.191 eV/cell; symmetry = No. 216
1.0
5.5930 0.0000 0.0000
2.7965 4.8436 0.0000
2.7965 1.6145 4.5666
Pm Nd Th Tl
1 1 1 1
Direct
0.5000 0.5000 0.5000
0.7500 0.7500 0.7500
0.2500 0.2500 0.2500
0.0000 0.0000 0.0000

***

Pm2Nd5TmTh (GGA-PBE, relaxed); total energy = -88.008 eV/cell; symmetry = No. 63
1.0
-0.5946 5.4048 0.4614
-3.8951 -4.0222 9.8266
9.7051 0.7142 4.1393
Pm Tm Th Nd
4 2 2 10
Direct
0.1130 0.2259 0.2578
0.8870 0.7741 0.7578
0.1129 0.2257 0.7588
0.8871 0.7743 0.2588
0.6025 0.2051 0.0081
0.3975 0.7949 0.5081
0.7895 0.5791 0.5081
0.2105 0.4209 0.0081
0.9995 0.9991 0.0083
0.7227 0.4454 0.2002
0.3725 0.7450 0.0083
0.5001 0.0001 0.2583
0.4999 0.9999 0.7583
0.0005 0.0009 0.5083
0.2773 0.5546 0.7002
0.7227 0.4453 0.8160
0.2773 0.5547 0.3160
0.6275 0.2550 0.5083

***

DOS(E_F) (computed, states/eV per atom): 1.3596 1.5181 1.8069 1.4329